1.
Al2GaCu2 | the Alexandria database | GGA-PBEsol | optimized geometry; final energy = -3.95 eV/atom; space-group type = I4/mmm (139); magnetic moment = 0.0 μB per formula unit; energy of formation from the pure elements = 0.092 eV/atom; excess energy over the best structure of this formula in the dataset = 0.171 eV per atom
1.0
3.7367 0.0000 0.0000
0.0000 3.7367 0.0000
-1.8683 -1.8683 5.5583
Ga Al Cu
1 2 2
Direct
0.0000 0.0000 0.0000
0.2500 0.7500 0.5000
0.7500 0.2500 0.5000
0.3948 0.3948 0.7895
0.6052 0.6052 0.2105

***

2.
Al2GaCu2 | the Alexandria database | GGA-PBEsol | optimized geometry; final energy = -4.12 eV/atom; space-group type = P4/mbm (127); magnetic moment = 0.0 μB per formula unit; energy of formation from the pure elements = -0.078 eV/atom; excess energy over the best structure of this formula in the dataset = 0.000 eV per atom
1.0
-0.8374 2.1973 -1.2890
-5.0774 1.0654 5.1147
4.7032 4.0377 3.8278
Ga Cu Al
2 4 4
Direct
0.0000 0.5000 0.5000
0.0000 0.0000 0.0000
0.0000 0.8775 0.6225
0.0000 0.3775 0.8775
0.0000 0.1225 0.3775
0.0000 0.6225 0.1225
0.5000 0.3261 0.1739
0.5000 0.1739 0.6739
0.5000 0.6739 0.8261
0.5000 0.8261 0.3261

***

3.
AlGaCu2Se4 | the Alexandria database | GGA-PBEsol | optimized geometry; final energy = -4.47 eV/atom; space-group type = I-4 (82); magnetic moment = 0.0 μB per formula unit; ΔE_f (raw) = -528 meV per atom
1.0
-1.6488 5.1686 -1.2339
-5.2991 -1.6952 -0.0202
3.0822 -0.5763 6.0111
Al Se Ga Cu
1 4 1 2
Direct
0.5000 0.5000 0.0000
0.8728 0.8797 0.2484
0.1203 0.6244 0.7516
0.6312 0.1272 0.7516
0.3756 0.3688 0.2484
0.2500 0.7500 0.5000
0.0000 0.0000 0.0000
0.7500 0.2500 0.5000

***

4.
SrAlGaCu2 | the Alexandria database | GGA-PBEsol | optimized geometry; final energy = -3.42 eV/atom; space-group type = P4/mmm (123); magnetic moment = 0.0 μB per formula unit; energy of formation from the pure elements = 0.170 eV/atom
1.0
-2.4416 -0.8782 -3.8515
-0.9330 -4.2715 1.5654
-3.9941 1.6614 2.1531
Al Cu Ga Sr
1 2 1 1
Direct
0.0000 0.0000 0.5000
0.5000 0.0000 0.0000
0.0000 0.5000 0.0000
0.0000 0.0000 0.0000
0.5000 0.5000 0.5000